# CeCu2Pd8

CeCu2Pd8 after structural relaxation (PBE, Alexandria).

Cell lengths 7.302, 7.302, 6.298 Å; angles 105.78, 105.78, 32.77 degrees
Atoms (fractional coordinates):
Ce (0.000, 0.000, 0.000)
Cu (0.273, 0.273, 0.358)
Cu (0.727, 0.727, 0.642)
Pd (0.100, 0.100, 0.469)
Pd (0.183, 0.183, 0.923)
Pd (0.355, 0.355, 0.792)
Pd (0.452, 0.452, 0.275)
Pd (0.548, 0.548, 0.725)
Pd (0.645, 0.645, 0.208)
Pd (0.817, 0.817, 0.077)
Pd (0.900, 0.900, 0.531)

Computed properties:
- Symmetry: C2/m (12)
- E above lowest polymorph: 0 meV/atom